# CdP2Au

CdP2Au at its PBEsol-relaxed geometry (meta-GGA SCAN, Alexandria).

Cell lengths 3.225, 4.633, 5.059 Å; angles 90.00, 90.00, 92.65 degrees
Sites, in units of the cell vectors:
Au 0.000 0.000 0.500
P 0.257 0.161 0.000
Cd 0.500 0.500 0.500
P 0.743 0.839 0.000

Output
D(E_F): 1.1 states/eV per cell
symmetry: P2/m
formation enthalpy at 0 K: 9.6 kJ per mole of atoms
calculated total energy: -29.99 eV per atom
crystal system: monoclinic
V: 75.51 Å³/cell